Entry 1:
DFT (PBE) results for NaTc2Os2 after structural relaxation.

Unit cell a=7.8144 b=7.8144 c=2.6851 alpha=90.00 beta=90.00 gamma=90.00
Fractional positions:
Na: 0.0000 0.0000 0.0000
Na: 0.5000 0.5000 0.0000
Os: 0.1664 0.6664 0.5000
Os: 0.6664 0.8336 0.5000
Os: 0.8336 0.3336 0.5000
Os: 0.3336 0.1664 0.5000
Tc: 0.3793 0.8793 0.0000
Tc: 0.8793 0.6207 0.0000
Tc: 0.6207 0.1207 0.0000
Tc: 0.1207 0.3793 0.0000

Calculated values
calculated volume = 164.0 Å³/cell
N(E_F) = 7.7 states/eV per cell
crystal system = tetragonal
energy above the lowest structure with this stoichiometry = 6 meV per atom



Entry 2:
DFT (PBE) results for RbMnNi after structural relaxation.

Unit cell a=6.0474 b=6.0474 c=9.1211 alpha=90.00 beta=90.00 gamma=120.00
Fractional positions:
Ni: 0.0000 0.0000 0.0000
Ni: 0.0000 0.0000 0.5000
Mn: 0.0000 0.0000 0.2500
Mn: 0.0000 0.0000 0.7500
Rb: 0.3333 0.6667 0.2500
Rb: 0.6667 0.3333 0.7500

Calculated values
calculated volume = 288.9 Å³/cell
N(E_F) = 4.3 states/eV per cell
crystal system = hexagonal
energy above the lowest structure with this stoichiometry = 877 meV per atom



| no. | formation energy from the elements (eV/atom) |
| --- | --- |
| 1 | 0.33 |
| 2 | 1.28 |